1.
This record from the Alexandria database describes TaCoBr2 at its PBEsol-relaxed geometry. The functional is SCAN.

The structure belongs to space group P4mm (No. 99); the cell edges are 3.189, 3.189 and 7.775 Å and the angles 90.00°, 90.00° and 90.00°. The inequivalent atoms are Ta at (0.000, 0.000, 0.000), Co at (0.500, 0.500, 0.848), Br at (0.000, 0.000, 0.664) and Br at (0.500, 0.500, 0.250).

The calculation puts the formation energy (no corrections) at 0.010 eV per atom. The energy above the lowest structure with this stoichiometry is 0 meV per atom.


2.
This record from the Alexandria database describes CuSiPt at its PBEsol-relaxed geometry. The functional is SCAN.

The structure belongs to space group I4mm (No. 107); the cell edges are 3.163, 3.163 and 7.827 Å and the angles 90.00°, 90.00° and 90.00°. The inequivalent atoms are Cu at (0.000, 0.000, 0.000), Si at (0.000, 0.000, 0.662) and Pt at (0.000, 0.000, 0.324).

The calculation puts the formation energy (no corrections) at -0.374 eV per atom.


3.
This record from the Alexandria database describes CoPt2C at its PBEsol-relaxed geometry. The functional is SCAN.

The structure belongs to space group I-42d (No. 122); the cell edges are 7.226, 7.226 and 3.947 Å and the angles 90.00°, 90.00° and 90.00°. The inequivalent atoms are Co at (0.000, 0.000, 0.000), Pt at (0.120, 0.750, 0.625) and C at (0.000, 0.000, 0.500).

As for the uncorrected energy: -41.40 eV per atom.


4.
This record from the Alexandria database describes KNaTeI2 at its PBEsol-relaxed geometry. The functional is SCAN.

The structure belongs to space group P4/mmm (No. 123); the cell edges are 6.415, 6.415 and 6.228 Å and the angles 90.00°, 90.00° and 90.00°. The inequivalent atoms are K at (0.000, 0.000, 0.000), Na at (0.500, 0.500, 0.500), Te at (0.000, 0.000, 0.500) and I at (0.000, 0.500, 0.000).

The calculation puts the formation energy (no corrections) at -0.394 eV per atom.